Material: PrYAu2
Method: DFT, GGA-PBE
State: relaxed

Computed properties:
- VASP energy: -21.08 eV per cell
- Energy of formation from the pure elements: -0.83 eV per atom
- Calculated volume: 101 Å³/cell
- Space group: Amm2, No. 38

Cell: 4.736 5.911 5.911 Å, 37.63 90.00 90.00°
Element x y z (fractional)
Au: 0.000 0.088 0.088
Au: 0.500 0.913 0.913
Pr: 0.000 0.361 0.361
Y: 0.500 0.638 0.638